[1]
A plane-wave DFT calculation with GGA-PBEsol was carried out for a relaxed structure of Li7Tl.

## Properties
Size of the total moment (μB/cell): 0.00
Energy relative to the elements (eV per atom): -0.12
D(E_F) (states/eV/cell): 3.87
ρ (g/cm³): 2.832
Symmetry: Fm-3m, No. 225

abc: 5.9415 5.9415 5.9415
angles: 60.00 60.00 60.00
Sites, in units of the cell vectors:
Li (0.5000, 0.0000, 0.0000)
Li (0.5000, 0.5000, 0.0000)
Li (0.5000, 0.5000, 0.5000)
Li (0.0000, 0.5000, 0.5000)
Li (0.5000, 0.0000, 0.5000)
Li (0.0000, 0.5000, 0.0000)
Li (0.0000, 0.0000, 0.5000)
Tl (0.0000, 0.0000, 0.0000)



[2]
A plane-wave DFT calculation with GGA-PBEsol was carried out for a relaxed structure of CaPt3.

## Properties
Size of the total moment (μB/cell): 0.00
Energy relative to the elements (eV per atom): -0.39
D(E_F) (states/eV/cell): 4.90
ρ (g/cm³): 15.579
Symmetry: I4/mmm, No. 139

abc: 4.0357 4.0357 4.9892
angles: 113.86 113.86 90.00
Sites, in units of the cell vectors:
Ca (0.0000, 0.0000, 0.0000)
Pt (0.2500, 0.7500, 0.5000)
Pt (0.7500, 0.2500, 0.5000)
Pt (0.5000, 0.5000, 0.0000)



[3]
A plane-wave DFT calculation with GGA-PBEsol was carried out for a relaxed structure of In2SbSeS.

## Properties
Size of the total moment (μB/cell): 0.00
Formation energy without anion corrections (eV/f.u.): 0.99
D(E_F) (states/eV/cell): 2.07
ρ (g/cm³): 5.930
Symmetry: P4/mmm, No. 123

abc: 4.7544 5.2188 5.2188
angles: 90.00 90.00 90.00
Sites, in units of the cell vectors:
S (0.0000, 0.0000, 0.0000)
In (0.0000, 0.0000, 0.5000)
In (0.0000, 0.5000, 0.0000)
Sb (0.5000, 0.5000, 0.5000)
Se (0.5000, 0.0000, 0.0000)



[4]
A plane-wave DFT calculation with GGA-PBEsol was carried out for a relaxed structure of Ta2BeCd.

## Properties
Size of the total moment (μB/cell): 0.00
Energy relative to the elements (eV per atom): 0.30
D(E_F) (states/eV/cell): 2.21
ρ (g/cm³): 12.698
Symmetry: Imm2, No. 44

abc: 2.9183 4.7503 5.3438
angles: 116.39 105.85 90.00
Sites, in units of the cell vectors:
Ta (0.0010, 0.0010, 0.0021)
Ta (0.7765, 0.2765, 0.5529)
Cd (0.2180, 0.7180, 0.4361)
Be (0.5045, 0.5045, 0.0090)



Number 1: uncorrected energy -17.37 eV for the cell shown. Number 2: uncorrected energy -24.59 eV for the cell shown. Number 3: uncorrected energy -17.77 eV for the cell shown. Number 4: uncorrected energy -29.10 eV for the cell shown.